DFT (GGA-PBE) results for a geometry-optimized TbCoIr structure.

## Properties
uncorrected energy = -41.67 eV per cell
energy of formation = -0.08 eV per atom
SG = Fmmm, No. 69

Geometry as POSCAR:
```
TbCoIr
1.0
5.1142 -0.0599 0.0000
-2.5017 4.4610 0.0000
-1.3063 -2.2006 4.4640
Ir Co Tb
2 2 2
direct
0.8032 0.8032 0.6063
0.1968 0.1968 0.3937
0.2500 0.7500 0.5000
0.7500 0.2500 0.5000
0.6624 0.3376 0.0000
0.3376 0.6624 0.0000
```

DFT (GGA-PBE) results for a geometry-optimized HfZrN3 structure.

## Properties
uncorrected energy = -42.98 eV per cell
E_form (uncorrected) = 0.5 eV per formula unit
SG = Pm-3m, No. 221

Geometry as POSCAR:
```
HfZrN3
1.0
-0.8507 -3.9618 0.5258
2.4277 -0.9393 -3.1496
3.1747 -0.3433 2.5494
Zr N Hf
1 3 1
direct
0.0000 0.0000 0.0000
0.0000 0.5000 0.0000
0.0000 0.0000 0.5000
0.5000 0.0000 0.0000
0.5000 0.5000 0.5000
```

DFT (GGA-PBE) results for a geometry-optimized Li4SbH structure.

## Properties
uncorrected energy = -18.07 eV per cell
energy above the lowest structure with this stoichiometry = 0 meV per atom
SG = P1, No. 1

Geometry as POSCAR:
```
Li4SbH
1.0
4.5374 1.1096 0.9639
1.1201 4.5310 0.9527
1.1765 1.1916 5.3501
Li Sb H
4 1 1
direct
0.4179 0.9508 0.4208
0.9577 0.2606 0.1583
0.7383 0.0414 0.8378
0.0467 0.5804 0.5755
0.3711 0.6280 0.9983
0.9762 0.0226 0.4982
```

DFT (GGA-PBE) results for a geometry-optimized Na2ScTc structure.

## Properties
uncorrected energy = -15.35 eV per cell
energy of formation = 1.00 eV per atom
energy above the lowest structure with this stoichiometry = 344 meV per atom
SG = Fm-3m, No. 225

Geometry as POSCAR:
```
Na2ScTc
1.0
0.0000 3.5076 3.5076
3.5076 0.0000 3.5076
3.5076 3.5076 0.0000
Tc Na Sc
1 2 1
direct
0.5000 0.5000 0.5000
0.7500 0.7500 0.7500
0.2500 0.2500 0.2500
0.0000 0.0000 0.0000
```

DFT (GGA-PBE) results for a geometry-optimized LiTlSi2S structure.

## Properties
uncorrected energy = -14.28 eV per cell
E_form (uncorrected) = 5.0 eV per formula unit
SG = P4/mmm, No. 123

Geometry as POSCAR:
```
LiTlSi2S
1.0
5.2218 0.0000 0.0000
0.0000 5.4712 0.0000
0.0000 0.0000 5.2218
Li Si Tl S
1 2 1 1
direct
0.5000 0.5000 0.5000
0.5000 0.0000 0.0000
0.0000 0.0000 0.5000
0.0000 0.0000 0.0000
0.0000 0.5000 0.0000
```

DFT (GGA-PBE) results for a geometry-optimized CoRu2Au structure.

## Properties
uncorrected energy = -27.54 eV per cell
energy of formation = 0.35 eV per atom
energy above the lowest structure with this stoichiometry = 99 meV per atom
SG = P4/mmm, No. 123

Geometry as POSCAR:
```
CoRu2Au
1.0
-1.8859 -0.8751 -1.7600
1.8193 0.1461 -2.0221
2.0813 -7.2044 1.3521
Ru Au Co
2 1 1
direct
0.0000 0.0000 0.5314
0.0000 0.0000 0.9686
0.5000 0.5000 0.2500
0.5000 0.5000 0.7500
```

DFT (GGA-PBE) results for a geometry-optimized CdCuH6Rh structure.

## Properties
uncorrected energy = -32.36 eV per cell
SG = P1, No. 1

Geometry as POSCAR:
```
CdCuH6Rh
1.0
-0.0618 -5.1166 -0.6048
0.0128 -2.1345 -4.1384
4.3022 -0.4215 2.5352
Cd Cu H Rh
1 1 6 1
direct
0.0302 0.7773 0.1293
0.6703 0.6569 0.4670
0.5914 0.8839 0.2152
0.3193 0.1796 0.7041
0.0030 0.8507 0.7288
0.0748 0.2722 0.3282
0.5626 0.4776 0.6662
0.4233 0.5203 0.2682
0.3249 0.3816 0.4928
```

DFT (GGA-PBE) results for a geometry-optimized Pr2Nd6SmY structure.

## Properties
uncorrected energy = -96.52 eV per cell
energy of formation = 0.11 eV per atom
SG = C2/c, No. 15

Geometry as POSCAR:
```
Pr2Nd6SmY
1.0
-8.2647 0.0867 5.5832
-2.6185 -7.0170 -5.0358
5.5385 -1.5556 6.9541
Nd Pr Sm Y
12 4 2 2
direct
0.4452 0.2512 0.8796
0.3123 0.9826 0.4268
0.9452 0.8796 0.2512
0.0548 0.1204 0.7488
0.1877 0.5732 0.0174
0.3799 0.5031 0.2936
0.1201 0.7064 0.4969
0.8123 0.4268 0.9826
0.8799 0.2936 0.5031
0.6201 0.4969 0.7064
0.6877 0.0174 0.5732
0.5548 0.7488 0.1204
0.5416 0.1952 0.2953
0.9584 0.7047 0.8048
0.0416 0.2953 0.1952
0.4584 0.8048 0.7047
0.7500 0.0187 0.9813
0.2500 0.9813 0.0187
0.7500 0.5924 0.4076
0.2500 0.4076 0.5924
```

DFT (GGA-PBE) results for a geometry-optimized Nb2VRh2 structure.

## Properties
uncorrected energy = -88.11 eV per cell
energy of formation = -0.02 eV per atom
energy above the lowest structure with this stoichiometry = 81 meV per atom
SG = P4/mbm, No. 127

Geometry as POSCAR:
```
Nb2VRh2
1.0
-1.9543 4.8605 -5.4852
-1.2334 -5.8140 -4.7125
-2.7708 -0.1236 0.8777
Rh V Nb
4 2 4
direct
0.1346 0.6346 0.5000
0.3654 0.1346 0.5000
0.8654 0.3654 0.5000
0.6346 0.8654 0.5000
0.0000 0.0000 0.0000
0.5000 0.5000 0.0000
0.8360 0.6640 0.0000
0.3360 0.8360 0.0000
0.6640 0.1640 0.0000
0.1640 0.3360 0.0000
```

DFT (GGA-PBE) results for a geometry-optimized TaFeSe structure.

## Properties
uncorrected energy = -23.88 eV per cell
E_form (uncorrected) = -0.1 eV per formula unit
energy above the lowest structure with this stoichiometry = 199 meV per atom
SG = P3m1, No. 156

Geometry as POSCAR:
```
TaFeSe
1.0
4.0083 0.0000 0.0000
-2.0041 3.4713 0.0000
0.0000 0.0000 3.1647
Ta Fe Se
1 1 1
direct
0.6667 0.3333 0.6768
0.0000 0.0000 0.1416
0.3333 0.6667 0.1816
```

DFT (GGA-PBE) results for a geometry-optimized FeTeSe structure.

## Properties
uncorrected energy = -31.63 eV per cell
E_form (uncorrected) = -0.7 eV per formula unit
energy above the lowest structure with this stoichiometry = 0 meV per atom
SG = Pmn2_1, No. 31

Geometry as POSCAR:
```
FeTeSe
1.0
-0.3372 -3.4151 1.5192
-0.9675 -1.9245 -4.5411
5.8877 -0.9586 -0.8482
Te Fe Se
2 2 2
direct
0.0000 0.4729 0.6377
0.5000 0.5271 0.1377
0.5000 0.7643 0.5040
0.0000 0.2357 0.0040
0.0000 0.0280 0.3660
0.5000 0.9720 0.8660
```

DFT (GGA-PBE) results for a geometry-optimized La3Tb4Tm5 structure.

## Properties
uncorrected energy = -55.32 eV per cell
energy of formation = 0.03 eV per atom
energy above the lowest structure with this stoichiometry = 0 meV per atom
SG = P-1, No. 2

Geometry as POSCAR:
```
La3Tb4Tm5
1.0
-6.1936 -3.4210 -1.0205
7.3904 3.7499 -7.6671
-4.4197 -9.1788 7.8931
Tm La Tb
5 3 4
direct
0.6694 0.3329 0.1638
0.5000 0.0000 0.5000
0.7486 0.5023 0.0022
0.3306 0.6671 0.8362
0.2514 0.4977 0.9978
0.5848 0.1664 0.3327
0.0000 0.0000 0.5000
0.4152 0.8336 0.6673
0.1689 0.3376 0.1679
0.0812 0.1610 0.3287
0.9188 0.8390 0.6713
0.8311 0.6624 0.8321
```

DFT (GGA-PBE) results for a geometry-optimized Sm2HoHg2 structure.

## Properties
uncorrected energy = -32.97 eV per cell
energy of formation = -0.37 eV per atom
energy above the lowest structure with this stoichiometry = 0 meV per atom
SG = P2_1/m, No. 11

Geometry as POSCAR:
```
Sm2HoHg2
1.0
-0.5835 3.7217 -0.0723
-3.1798 -0.5810 -4.2462
-10.6467 -3.4113 8.4395
Sm Hg Ho
4 4 2
direct
0.9539 0.2500 0.9091
0.2339 0.7500 0.4690
0.7661 0.2500 0.5310
0.0461 0.7500 0.0909
0.5537 0.2500 0.1067
0.6415 0.7500 0.2833
0.4463 0.7500 0.8933
0.3585 0.2500 0.7167
0.8530 0.7500 0.7070
0.1470 0.2500 0.2930
```

DFT (GGA-PBE) results for a geometry-optimized LaYMg2Co structure.

## Properties
uncorrected energy = -21.73 eV per cell
energy of formation = -0.01 eV per atom
energy above the lowest structure with this stoichiometry = 0 meV per atom
SG = P4/mmm, No. 123

Geometry as POSCAR:
```
LaYMg2Co
1.0
-2.3042 4.1510 -1.8694
-3.6567 -0.4395 3.5313
2.6126 2.8271 3.0573
Mg Co La Y
2 1 1 1
direct
0.5000 0.0000 0.0000
0.0000 0.5000 0.0000
0.0000 0.0000 0.0000
0.5000 0.5000 0.5000
0.0000 0.0000 0.5000
```

DFT (GGA-PBE) results for a geometry-optimized MgTiCoNi structure.

## Properties
uncorrected energy = -23.33 eV per cell
energy of formation = -0.24 eV per atom
SG = F-43m, No. 216

Geometry as POSCAR:
```
MgTiCoNi
1.0
-1.4996 1.8605 3.4916
2.0913 -0.3708 3.6592
2.0028 3.3465 1.6405
Ti Ni Co Mg
1 1 1 1
direct
0.7500 0.7500 0.7500
0.0000 0.0000 0.0000
0.5000 0.5000 0.5000
0.2500 0.2500 0.2500
```

DFT (GGA-PBE) results for a geometry-optimized SrMnFe2 structure.

## Properties
uncorrected energy = -24.24 eV per cell
energy of formation = 0.88 eV per atom
SG = P4/mmm, No. 123

Geometry as POSCAR:
```
SrMnFe2
1.0
-0.0626 0.4456 -4.0812
3.7439 -1.8007 -0.2540
-1.8174 -3.7252 -0.3788
Sr Mn Fe
1 1 2
direct
0.5000 0.0000 0.5000
0.5000 0.5000 0.0000
0.0000 0.5000 0.5000
0.0000 0.0000 0.0000
```

DFT (GGA-PBE) results for a geometry-optimized Pu3Ge2Au9 structure.

## Properties
uncorrected energy = -85.74 eV per cell
energy of formation = -0.29 eV per atom
energy above the lowest structure with this stoichiometry = 0 meV per atom
SG = Immm, No. 71

Geometry as POSCAR:
```
Pu3Ge2Au9
1.0
4.5918 0.0000 1.0671
1.9245 7.8223 2.1316
0.4878 -0.2829 8.3137
Pu Au Ge
3 9 2
direct
0.0000 0.0000 0.0000
0.3010 0.6990 0.6990
0.6990 0.3010 0.3010
0.1319 0.5918 0.1443
0.8681 0.4082 0.8557
0.3500 0.0192 0.2807
0.0000 0.5000 0.5000
0.6500 0.7193 0.9808
0.8681 0.8557 0.4082
0.6500 0.9808 0.7193
0.1319 0.1443 0.5918
0.3500 0.2807 0.0192
0.5000 0.6846 0.3154
0.5000 0.3154 0.6846
```

DFT (GGA-PBE) results for a geometry-optimized MgTl2In structure.

## Properties
uncorrected energy = -9.05 eV per cell
energy of formation = 0.00 eV per atom
SG = Pmm2, No. 25

Geometry as POSCAR:
```
MgTl2In
1.0
-1.4668 -2.1381 2.1242
2.0885 -3.4047 -1.9848
5.6122 0.7458 4.6261
Tl Mg In
2 1 1
direct
0.0000 0.0000 0.9810
0.5000 0.5000 0.2580
0.5000 0.5000 0.7406
0.0000 0.0000 0.5204
```

DFT (GGA-PBE) results for a geometry-optimized ThAl6Pd2 structure.

## Properties
uncorrected energy = -44.29 eV per cell
energy of formation = -0.45 eV per atom
SG = P4/mmm, No. 123

Geometry as POSCAR:
```
ThAl6Pd2
1.0
-0.0697 4.5821 -0.0123
-4.2683 -0.0694 -1.6666
-2.8523 -0.0238 7.3059
Al Pd Th
6 2 1
direct
0.0000 0.0000 0.5000
0.5000 0.0000 0.3041
0.0000 0.5000 0.3041
0.5000 0.0000 0.6959
0.0000 0.5000 0.6959
0.5000 0.5000 0.5000
0.5000 0.5000 0.8277
0.5000 0.5000 0.1723
0.0000 0.0000 0.0000
```

DFT (GGA-PBE) results for a geometry-optimized Cr structure.

## Properties
uncorrected energy = -27.88 eV per cell
energy of formation = 0.33 eV per atom
energy above the lowest structure with this stoichiometry = 330 meV per atom
SG = P6/mmm, No. 191

Geometry as POSCAR:
```
Cr
1.0
-0.8892 1.3174 -1.6483
0.2625 -3.2330 -2.7255
-3.5047 0.5362 2.3192
Cr
3
direct
0.5000 0.3333 0.6667
0.0000 0.0000 0.0000
0.5000 0.6667 0.3333
```

DFT (GGA-PBE) results for a geometry-optimized ZnNi7Rh3 structure.

## Properties
uncorrected energy = -62.84 eV per cell
energy of formation = 0.09 eV per atom
SG = Cm, No. 8

Geometry as POSCAR:
```
ZnNi7Rh3
1.0
4.4091 -0.5926 0.4700
-0.9842 4.3385 0.4700
-1.7023 -1.8619 6.9877
Rh Ni Zn
3 7 1
direct
0.4503 0.4503 0.0280
0.3466 0.7917 0.4903
0.7917 0.3466 0.4903
0.8829 0.8829 0.6604
0.4178 0.9021 0.8397
0.5640 0.9983 0.1924
0.9983 0.5640 0.1924
0.9021 0.4178 0.8397
0.2026 0.2026 0.3344
0.3563 0.3563 0.6828
0.9623 0.9623 0.9996
```

DFT (GGA-PBE) results for a geometry-optimized SbN structure.

## Properties
uncorrected energy = -63.31 eV per cell
E_form (uncorrected) = 1.9 eV per formula unit
energy above the lowest structure with this stoichiometry = 602 meV per atom
SG = Pm-3n, No. 223

Geometry as POSCAR:
```
SbN
1.0
6.5515 0.0000 0.0000
0.0000 6.5515 0.0000
0.0000 0.0000 6.5515
Sb N
6 6
direct
0.7500 0.5000 0.0000
0.0000 0.2500 0.5000
0.0000 0.7500 0.5000
0.2500 0.5000 0.0000
0.5000 0.0000 0.7500
0.5000 0.0000 0.2500
0.5000 0.2500 0.0000
0.0000 0.5000 0.7500
0.7500 0.0000 0.5000
0.2500 0.0000 0.5000
0.5000 0.7500 0.0000
0.0000 0.5000 0.2500
```

DFT (GGA-PBE) results for a geometry-optimized GaTe3 structure.

## Properties
uncorrected energy = -12.21 eV per cell
E_form (uncorrected) = 0.2 eV per formula unit
SG = Imm2, No. 44

Geometry as POSCAR:
```
GaTe3
1.0
4.1958 0.0000 0.0000
0.0000 5.2699 0.0000
-2.0979 -2.6350 5.5112
Te Ga
3 1
direct
0.6813 0.0227 0.3626
0.3187 0.6601 0.6374
0.5000 0.4550 0.0000
0.0000 0.0289 0.0000
```

DFT (GGA-PBE) results for a geometry-optimized ZrPa2H6 structure.

## Properties
uncorrected energy = -50.91 eV per cell
SG = C2/m, No. 12

Geometry as POSCAR:
```
ZrPa2H6
1.0
-0.9544 3.0998 -0.3552
-3.9808 -1.6801 -3.9664
-0.8591 -1.2489 5.7278
Zr H Pa
1 6 2
direct
0.0000 0.0000 0.0000
0.5000 0.7930 0.0000
0.8366 0.0613 0.6683
0.5000 0.2070 0.0000
0.8366 0.6069 0.6683
0.1634 0.3931 0.3317
0.1634 0.9387 0.3317
0.6459 0.6477 0.2955
0.3541 0.3523 0.7045
```

DFT (GGA-PBE) results for a geometry-optimized CsMg2Tl4Cd structure.

## Properties
uncorrected energy = -14.73 eV per cell
energy of formation = -0.04 eV per atom
SG = R-3m, No. 166

Geometry as POSCAR:
```
CsMg2Tl4Cd
1.0
-4.1718 -1.3251 2.7276
-0.1071 -4.4935 2.5291
3.0147 3.1764 11.0301
Mg Cs Tl Cd
2 1 4 1
direct
0.7743 0.7743 0.6771
0.2257 0.2257 0.3229
0.0000 0.0000 0.0000
0.1282 0.1282 0.6153
0.5923 0.5923 0.2230
0.4077 0.4077 0.7770
0.8718 0.8718 0.3847
0.5000 0.5000 0.5000
```